1.
SrTlIr2 | PBE | relaxed

Summary:
Size of the total moment (μB per atom): 0.166
Relative energy among the computed polymorphs (eV per formula unit): 1.85
Crystal system: cubic

a = 4.8935 Å, b = 4.8935 Å, c = 4.8935 Å
α = 60.00°, β = 60.00°, γ = 60.00°
Each line ends with the local moment (μB).
Element x y z (fractional)
Ir (0.0000, 0.0000, 0.0000)  0.23
Ir (0.2500, 0.2500, 0.2500)  0.41
Sr (0.5000, 0.5000, 0.5000)  0.01
Tl (0.7500, 0.7500, 0.7500)  0.00


2.
Li5MgCd2Ag2 | PBE | relaxed

Summary:
Size of the total moment (μB per atom): 0.000
E (eV/f.u.): -19.874
Crystal system: tetragonal

a = 4.2614 Å, b = 9.4914 Å, c = 9.4914 Å
α = 90.00°, β = 90.00°, γ = 90.00°
Element x y z (fractional)
Li (0.5000, 0.2004, 0.0836)
Li (0.5000, 0.7996, 0.9164)
Li (0.5000, 0.0836, 0.7996)
Li (0.5000, 0.7004, 0.4164)
Li (0.5000, 0.9164, 0.2004)
Li (0.5000, 0.2996, 0.5836)
Li (0.5000, 0.5836, 0.7004)
Li (0.5000, 0.4164, 0.2996)
Li (0.5000, 0.5000, 0.0000)
Li (0.5000, 0.0000, 0.5000)
Mg (0.0000, 0.0000, 0.0000)
Mg (0.0000, 0.5000, 0.5000)
Cd (0.0000, 0.6764, 0.1764)
Cd (0.0000, 0.3236, 0.8236)
Cd (0.0000, 0.1764, 0.3236)
Cd (0.0000, 0.8236, 0.6764)
Ag (0.0000, 0.1181, 0.6181)
Ag (0.0000, 0.8819, 0.3819)
Ag (0.0000, 0.6181, 0.8819)
Ag (0.0000, 0.3819, 0.1181)